# 1
This record from Alexandria via LeMat-Bulk describes a geometry-optimized CdSeBr structure. The functional is PBE.

a = 14.6400 Å, b = 4.1551 Å, c = 5.6079 Å
α = 90.00°, β = 96.26°, γ = 90.00°
Space group C2/m (No. 12)
Unique sites:
Cd  0.1478  0.0000  0.2112 [4 per cell]
Se  0.0278  0.5000  0.2109 [4 per cell]
Br  0.2002  0.0000  0.7344 [4 per cell]

Energy relative to the lowest polymorph listed for this composition ... 0.000 eV/f.u.
Uncorrected formation energy ... -0.553 eV per atom

***

# 2
This record from Alexandria via LeMat-Bulk describes a geometry-optimized PrCuRu2O7 structure. The functional is PBE.

a = 3.8812 Å, b = 3.8812 Å, c = 18.2318 Å
α = 90.00°, β = 90.00°, γ = 90.00°
Space group I-4m2 (No. 119)
Unique sites:
Pr  0.0000  0.0000  0.0000 [2 per cell]
Cu  0.0000  0.5000  0.2500 [2 per cell]
Ru  0.0000  0.0000  0.3845 [4 per cell]
O  0.0000  0.0000  0.2819 [4 per cell]
O  0.0000  0.0000  0.5000 [2 per cell]
O  0.0000  0.5000  0.0970 [4 per cell]
O  0.0000  0.5000  0.5952 [4 per cell]

Uncorrected formation energy ... -1.312 eV per atom

***

# 3
This record from Alexandria via LeMat-Bulk describes a geometry-optimized HgOs2 structure. The functional is PBE.

a = 10.4443 Å, b = 2.8132 Å, c = 6.9849 Å
α = 90.00°, β = 105.58°, γ = 90.00°
Space group C2/m (No. 12)
Unique sites:
Hg  0.1363  0.0000  0.0292 [4 per cell]
Os  0.0296  0.5000  0.3371 [4 per cell]
Os  0.1903  0.0000  0.6191 [4 per cell]

Energy relative to the lowest polymorph listed for this composition ... 0.554 eV/f.u.
ΔH_f (0 K) ... 0.58 eV/atom

***

# 4
This record from Alexandria via LeMat-Bulk describes a geometry-optimized AgBi2SbF structure. The functional is PBE.

a = 5.9767 Å, b = 5.9767 Å, c = 4.1854 Å
α = 90.00°, β = 90.00°, γ = 90.00°
Space group P4/mmm (No. 123)
Unique sites:
Ag  0.0000  0.0000  0.0000 [1 per cell]
Bi  0.0000  0.5000  0.5000 [2 per cell]
Sb  0.5000  0.5000  0.5000 [1 per cell]
F  0.5000  0.5000  0.0000 [1 per cell]

Uncorrected formation energy ... -0.112 eV per atom

***

# 5
This record from Alexandria via LeMat-Bulk describes a geometry-optimized CsCu2Br3 structure. The functional is PBE.

a = 10.6701 Å, b = 13.4742 Å, c = 5.3328 Å
α = 90.00°, β = 90.00°, γ = 90.00°
Space group Cmcm (No. 63)
Unique sites:
Cs  0.0000  0.1978  0.2500 [4 per cell]
Cu  0.1650  0.5000  0.0000 [8 per cell]
Br  0.0000  0.3981  0.7500 [4 per cell]
Br  0.2198  0.1212  0.7500 [8 per cell]

Uncorrected formation energy ... -0.794 eV per atom

***

# 6
This record from Alexandria via LeMat-Bulk describes a geometry-optimized LiGaSe2 structure. The functional is PBE.

a = 8.4045 Å, b = 3.8697 Å, c = 10.8932 Å
α = 90.00°, β = 108.76°, γ = 90.00°
Space group P2_1/c (No. 14)
Unique sites:
Li  0.1003  0.2327  0.4000 [4 per cell]
Ga  0.3551  0.7438  0.2132 [4 per cell]
Se  0.1391  0.2432  0.1595 [4 per cell]
Se  0.3739  0.6600  0.9685 [4 per cell]

Uncorrected formation energy ... -0.566 eV per atom

***

| no. | total DFT energy (no corrections) (eV/atom) | calculated density (g/cm³) |
| --- | --- | --- |
| 1 | -2.5769 | 5.31 |
| 2 | -6.9601 | 6.27 |
| 3 | -7.0071 | 19.52 |
| 4 | -3.4332 | 7.40 |
| 5 | -3.1381 | 4.33 |
| 6 | -3.5430 | 4.64 |